The following is a PBE calculation of an optimized crystal structure of SrFeNi2, from OQMD via LeMat-Bulk.

Lattice parameters (Å, degrees): 4.4702 4.4702 4.4702 60.00 60.00 60.00
Element x y z (fractional)
Sr 0.0000 0.0000 0.0000
Fe 0.2500 0.2500 0.2500
Ni 0.5000 0.5000 0.5000
Ni 0.7500 0.7500 0.7500

Properties
- total moment (μB/f.u.) = 3.006
- crystal system = cubic
- total energy (eV/atom) = -4.6395


The following is a PBE calculation of an optimized crystal structure of Sr3Fe2Ni2, from OQMD via LeMat-Bulk.

Lattice parameters (Å, degrees): 11.7815 11.7815 11.7815 20.31 20.31 20.31
Element x y z (fractional)
Sr 0.0000 0.0000 0.0000
Sr 0.2378 0.2378 0.2378
Sr 0.7587 0.7587 0.7587
Fe 0.4922 0.4922 0.4922
Fe 0.8412 0.8412 0.8412
Ni 0.1522 0.1522 0.1522
Ni 0.6230 0.6230 0.6230

Properties
- total moment (μB/f.u.) = 5.048
- crystal system = trigonal
- total energy (eV/atom) = -4.4847


The following is a PBE calculation of an optimized crystal structure of SrFeNiTe3, from OQMD via LeMat-Bulk.

Lattice parameters (Å, degrees): 7.2475 7.2475 10.4574 90.00 90.00 147.43
Element x y z (fractional)
Sr 0.2364 0.7636 0.7500
Sr 0.7636 0.2364 0.2500
Fe 0.0000 0.0000 0.0000
Fe 0.0000 0.0000 0.5000
Ni 0.4576 0.5424 0.2500
Ni 0.5424 0.4576 0.7500
Te 0.0645 0.9355 0.2500
Te 0.3706 0.6294 0.0369
Te 0.3706 0.6294 0.4631
Te 0.6294 0.3706 0.5369
Te 0.6294 0.3706 0.9631
Te 0.9355 0.0645 0.7500

Properties
- total moment (μB/f.u.) = 2.668
- crystal system = orthorhombic
- total energy (eV/atom) = -4.6175
- relative energy among the computed polymorphs (meV per atom) = 0


The following is a PBE calculation of an optimized crystal structure of SrFeNiTe3, from OQMD via LeMat-Bulk.

Lattice parameters (Å, degrees): 7.4238 7.4238 10.2881 90.00 90.00 147.91
Element x y z (fractional)
Sr 0.2398 0.7602 0.7500
Sr 0.7602 0.2398 0.2500
Fe 0.4596 0.5404 0.2500
Fe 0.5404 0.4596 0.7500
Ni 0.0000 0.0000 0.0000
Ni 0.0000 0.0000 0.5000
Te 0.0684 0.9316 0.2500
Te 0.3710 0.6290 0.0343
Te 0.3710 0.6290 0.4657
Te 0.6290 0.3710 0.5343
Te 0.6290 0.3710 0.9657
Te 0.9316 0.0684 0.7500

Properties
- total moment (μB/f.u.) = 2.714
- crystal system = orthorhombic
- total energy (eV/atom) = -4.5728
- relative energy among the computed polymorphs (meV per atom) = 45


The following is a PBE calculation of an optimized crystal structure of TaFeNi, from OQMD via LeMat-Bulk.

Lattice parameters (Å, degrees): 6.0511 3.5914 7.3185 90.00 90.00 90.00
Element x y z (fractional)
Ta 0.0374 0.2500 0.1758
Ta 0.4626 0.7500 0.6758
Ta 0.5374 0.2500 0.3242
Ta 0.9626 0.7500 0.8242
Fe 0.2494 0.2500 0.8716
Fe 0.2506 0.7500 0.3716
Fe 0.7494 0.2500 0.6284
Fe 0.7506 0.7500 0.1284
Ni 0.1347 0.2500 0.5589
Ni 0.3653 0.7500 0.0589
Ni 0.6347 0.2500 0.9411
Ni 0.8653 0.7500 0.4411

Properties
- total moment (μB/f.u.) = 1.046
- crystal system = orthorhombic
- ΔE_f (eV per atom) = -0.063
- total energy (eV/atom) = -8.6395
- relative energy among the computed polymorphs (meV per atom) = 12


The following is a PBE calculation of an optimized crystal structure of TaFeNi, from OQMD via LeMat-Bulk.

Lattice parameters (Å, degrees): 6.2085 3.4128 7.5985 90.00 90.00 90.00
Element x y z (fractional)
Ta 0.0514 0.2500 0.1742
Ta 0.4486 0.7500 0.6742
Ta 0.5514 0.2500 0.3258
Ta 0.9486 0.7500 0.8258
Fe 0.1297 0.2500 0.5598
Fe 0.3703 0.7500 0.0598
Fe 0.6297 0.2500 0.9402
Fe 0.8703 0.7500 0.4402
Ni 0.2468 0.2500 0.8651
Ni 0.2532 0.7500 0.3651
Ni 0.7468 0.2500 0.6349
Ni 0.7532 0.7500 0.1349

Properties
- total moment (μB/f.u.) = 1.782
- crystal system = orthorhombic
- ΔE_f (eV per atom) = -0.075
- total energy (eV/atom) = -8.6517
- relative energy among the computed polymorphs (meV per atom) = 0